KCuSn3 after structural relaxation. Source: Alexandria via LeMat-Bulk, functional GGA-PBE.

- Symmetry: No. 221
- DOS(E_F): 3.33 states/eV/f.u.
- Calculated formation energy: 0.106 eV/atom
- Offset from the most stable computed form: 252 meV per atom
- ρ: 5.20 g/cm³

The structure in POSCAR format:
```
KCuSn3
1.0
5.272 0.000 0.000
0.000 5.272 0.000
0.000 0.000 5.272
K Cu Sn
1 1 3
Direct
0.000 0.000 0.000
0.500 0.500 0.500
0.000 0.500 0.500
0.500 0.000 0.500
0.500 0.500 0.000
```